Material: AlOsBr
Method: DFT, PBE-GGA
State: relaxed

Summary:
energy relative to the elements, uncorrected: 779 meV/atom
total moment: 0.000 μB per atom
distance to the lowest polymorph of the same formula: 0.439 eV per atom
electronic total energy: -4.77 eV/atom

The structure in POSCAR format:
```
AlOsBr
1.0
0.000 3.050 3.050
3.050 0.000 3.050
3.050 3.050 0.000
Al Os Br
1 1 1
Direct
0.000 0.000 0.000
0.750 0.750 0.750
0.500 0.500 0.500
```